No. 1
VASP calculation (meta-GGA SCAN) on SrAsOsBr2 at its PBEsol-relaxed geometry.

Output
SG   No. 123
Electronic total energy   -29.755 eV per atom
E_form (uncorrected)   898 meV/atom

a b c (Å): 5.5760 5.5760 6.1129
angles (deg): 90.00 90.00 90.00
Sites, in units of the cell vectors:
Sr  0.0000  0.0000  0.0000
As  0.0000  0.0000  0.5000
Os  0.5000  0.5000  0.5000
Br  0.0000  0.5000  0.0000
Br  0.5000  0.0000  0.0000


No. 2
VASP calculation (meta-GGA SCAN) on TaAsOsBr2 at its PBEsol-relaxed geometry.

Output
SG   No. 123
Electronic total energy   -38.051 eV per atom
E_form (uncorrected)   1463 meV/atom

a b c (Å): 4.9498 4.9498 4.6771
angles (deg): 90.00 90.00 90.00
Sites, in units of the cell vectors:
Ta  0.0000  0.0000  0.0000
As  0.5000  0.5000  0.0000
Os  0.5000  0.5000  0.5000
Br  0.0000  0.5000  0.5000
Br  0.5000  0.0000  0.5000


No. 3
VASP calculation (meta-GGA SCAN) on TcAs2OsBr at its PBEsol-relaxed geometry.

Output
SG   No. 123
Electronic total energy   -31.832 eV per atom
E_form (uncorrected)   1524 meV/atom

a b c (Å): 4.6809 4.6809 4.9396
angles (deg): 90.00 90.00 90.00
Sites, in units of the cell vectors:
Tc  0.0000  0.0000  0.0000
As  0.0000  0.5000  0.0000
As  0.5000  0.0000  0.0000
Os  0.5000  0.5000  0.5000
Br  0.0000  0.0000  0.5000


Look up the electronic total energy of the first one.
-29.755 eV per atom


E_form (uncorrected) of number 1 (SrAsOsBr2)?
898 meV/atom


Which of these has the highest electronic total energy?
SrAsOsBr2


Which value of electronic total energy does entry 2 give?
-38.051 eV per atom